First-principles (PBE-GGA) data for Sm12Ag6Ir after structural relaxation, as listed in Alexandria via LeMat-Bulk.

Lattice parameters (Å, degrees): 11.9541 11.9541 13.5222 90.00 90.00 120.00
Space group R-3 (No. 148, hexagonal axes)
Unique sites:
Sm 0.0296 0.8389 0.3696 (multiplicity 18)
Sm 0.0467 0.1963 0.8932 (multiplicity 18)
Ag 0.0015 0.6008 0.2359 (multiplicity 18)
Ir 0.0000 0.0000 0.5000 (multiplicity 3)

=====

First-principles (PBE-GGA) data for Sm5AgIr4 after structural relaxation, as listed in Alexandria via LeMat-Bulk.

Lattice parameters (Å, degrees): 3.5314 3.5314 18.0107 90.00 90.00 90.00
Space group P4/mmm (No. 123)
Unique sites:
Sm 0.0000 0.0000 0.0000 (multiplicity 1)
Sm 0.0000 0.0000 0.1919 (multiplicity 2)
Sm 0.0000 0.0000 0.3818 (multiplicity 2)
Ag 0.5000 0.5000 0.5000 (multiplicity 1)
Ir 0.5000 0.5000 0.0972 (multiplicity 2)
Ir 0.5000 0.5000 0.2929 (multiplicity 2)

=====

First-principles (PBE-GGA) data for Sm3AgIr2 after structural relaxation, as listed in Alexandria via LeMat-Bulk.

Calculated values
The excess energy over the best structure of this formula in the dataset is 11.5 meV per atom.

Lattice parameters (Å, degrees): 5.0570 14.8810 3.6109 90.00 90.00 90.00
Space group Cmmm (No. 65)
Unique sites:
Sm 0.0000 0.0000 0.0000 (multiplicity 2)
Sm 0.0000 0.3242 0.0000 (multiplicity 4)
Ag 0.0000 0.5000 0.5000 (multiplicity 2)
Ir 0.0000 0.1631 0.5000 (multiplicity 4)

=====

First-principles (PBE-GGA) data for SmAgIr after structural relaxation, as listed in Alexandria via LeMat-Bulk.

Lattice parameters (Å, degrees): 4.1475 4.1475 29.9507 90.00 90.00 120.00
Space group R-3m (No. 166, hexagonal axes)
Unique sites:
Sm 0.0000 0.0000 0.0854 (multiplicity 6)
Ag 0.0000 0.0000 0.3129 (multiplicity 6)
Ir 0.0000 0.0000 0.1787 (multiplicity 6)

=====

First-principles (PBE-GGA) data for SrSmAgIr after structural relaxation, as listed in Alexandria via LeMat-Bulk.

Lattice parameters (Å, degrees): 7.2891 7.2891 7.2891 90.00 90.00 90.00
Space group F-43m (No. 216)
Unique sites:
Sr 0.0000 0.0000 0.0000 (multiplicity 4)
Sm 0.0000 0.0000 0.5000 (multiplicity 4)
Ag 0.2500 0.2500 0.2500 (multiplicity 4)
Ir 0.2500 0.2500 0.7500 (multiplicity 4)

=====

First-principles (PBE-GGA) data for TbSmAgIr after structural relaxation, as listed in Alexandria via LeMat-Bulk.

Lattice parameters (Å, degrees): 7.1219 7.1219 7.1219 90.00 90.00 90.00
Space group F-43m (No. 216)
Unique sites:
Tb 0.0000 0.0000 0.0000 (multiplicity 4)
Sm 0.0000 0.0000 0.5000 (multiplicity 4)
Ag 0.2500 0.2500 0.7500 (multiplicity 4)
Ir 0.2500 0.2500 0.2500 (multiplicity 4)

=====

First-principles (PBE-GGA) data for SmThAgIr after structural relaxation, as listed in Alexandria via LeMat-Bulk.

Lattice parameters (Å, degrees): 7.2503 7.2503 7.2503 90.00 90.00 90.00
Space group F-43m (No. 216)
Unique sites:
Sm 0.0000 0.0000 0.0000 (multiplicity 4)
Th 0.0000 0.0000 0.5000 (multiplicity 4)
Ag 0.2500 0.2500 0.2500 (multiplicity 4)
Ir 0.2500 0.2500 0.7500 (multiplicity 4)

=====

First-principles (PBE-GGA) data for Ag2Sn2Ir after structural relaxation, as listed in Alexandria via LeMat-Bulk.

Lattice parameters (Å, degrees): 6.9909 6.9909 4.2861 90.00 90.00 90.00
Space group P4/mbm (No. 127)
Unique sites:
Ag 0.1493 0.3507 0.0000 (multiplicity 4)
Sn 0.1545 0.6545 0.5000 (multiplicity 4)
Ir 0.0000 0.0000 0.5000 (multiplicity 2)

=====

First-principles (PBE-GGA) data for AgSn2Ir after structural relaxation, as listed in Alexandria via LeMat-Bulk.

Calculated values
The excess energy over the best structure of this formula in the dataset is 28.9 meV per atom.

Lattice parameters (Å, degrees): 6.7818 6.7818 6.7818 90.00 90.00 90.00
Space group Fm-3m (No. 225)
Unique sites:
Ag 0.0000 0.0000 0.0000 (multiplicity 4)
Sn 0.2500 0.2500 0.2500 (multiplicity 8)
Ir 0.0000 0.0000 0.5000 (multiplicity 4)

=====

First-principles (PBE-GGA) data for AgSn2Ir after structural relaxation, as listed in Alexandria via LeMat-Bulk.

Calculated values
The excess energy over the best structure of this formula in the dataset is 0.0 meV per atom.

Lattice parameters (Å, degrees): 3.2890 3.2890 28.1937 90.00 90.00 120.00
Space group R-3m (No. 166, hexagonal axes)
Unique sites:
Ag 0.0000 0.0000 0.0000 (multiplicity 3)
Sn 0.0000 0.0000 0.0964 (multiplicity 6)
Ir 0.0000 0.0000 0.5000 (multiplicity 3)

=====

First-principles (PBE-GGA) data for Ag2SnIr2 after structural relaxation, as listed in Alexandria via LeMat-Bulk.

Calculated values
The excess energy over the best structure of this formula in the dataset is 0.0 meV per atom.

Lattice parameters (Å, degrees): 6.6170 6.6170 4.2999 90.00 90.00 90.00
Space group P4/mbm (No. 127)
Unique sites:
Ag 0.1670 0.3330 0.0000 (multiplicity 4)
Sn 0.0000 0.0000 0.5000 (multiplicity 2)
Ir 0.1330 0.6330 0.5000 (multiplicity 4)

=====

First-principles (PBE-GGA) data for AgSnIr2 after structural relaxation, as listed in Alexandria via LeMat-Bulk.

Lattice parameters (Å, degrees): 7.3965 7.3965 5.4105 90.00 90.00 90.00
Space group I-42d (No. 122)
Unique sites:
Ag 0.0000 0.0000 0.0000 (multiplicity 4)
Sn 0.0000 0.0000 0.5000 (multiplicity 4)
Ir 0.2326 0.2500 0.6250 (multiplicity 8)

=====

First-principles (PBE-GGA) data for AgSn2Ir2 after structural relaxation, as listed in Alexandria via LeMat-Bulk.

Calculated values
The excess energy over the best structure of this formula in the dataset is 222.4 meV per atom.

Lattice parameters (Å, degrees): 4.2697 4.2697 11.3919 90.00 90.00 90.00
Space group I4/mmm (No. 139)
Unique sites:
Ag 0.0000 0.0000 0.0000 (multiplicity 2)
Sn 0.0000 0.5000 0.2500 (multiplicity 4)
Ir 0.0000 0.0000 0.3896 (multiplicity 4)

=====

First-principles (PBE-GGA) data for AgSnIr after structural relaxation, as listed in Alexandria via LeMat-Bulk.

Lattice parameters (Å, degrees): 9.2502 4.3368 5.8563 90.00 90.00 90.00
Space group Pnma (No. 62)
Unique sites:
Ag 0.0679 0.2500 0.1207 (multiplicity 4)
Sn 0.1943 0.2500 0.6550 (multiplicity 4)
Ir 0.0920 0.7500 0.4425 (multiplicity 4)

=====

First-principles (PBE-GGA) data for Ag2SnIr2 after structural relaxation, as listed in Alexandria via LeMat-Bulk.

Calculated values
The excess energy over the best structure of this formula in the dataset is 398.4 meV per atom.

Lattice parameters (Å, degrees): 8.1955 8.1955 2.7410 90.00 90.00 90.00
Space group P4/mbm (No. 127)
Unique sites:
Ag 0.1205 0.3795 0.0000 (multiplicity 4)
Sn 0.0000 0.0000 0.0000 (multiplicity 2)
Ir 0.1764 0.6764 0.5000 (multiplicity 4)

=====

First-principles (PBE-GGA) data for AgSn2Ir2 after structural relaxation, as listed in Alexandria via LeMat-Bulk.

Calculated values
The excess energy over the best structure of this formula in the dataset is 0.0 meV per atom.

Lattice parameters (Å, degrees): 7.7363 7.7363 3.0736 90.00 90.00 90.00
Space group P4/mbm (No. 127)
Unique sites:
Ag 0.0000 0.0000 0.0000 (multiplicity 2)
Sn 0.1580 0.3420 0.5000 (multiplicity 4)
Ir 0.1394 0.6394 0.0000 (multiplicity 4)

=====

First-principles (PBE-GGA) data for Ag2Sn8Ir after structural relaxation, as listed in Alexandria via LeMat-Bulk.

Lattice parameters (Å, degrees): 4.6083 7.6124 8.3729 81.30 88.80 89.26
Space group P-1 (No. 2)
Unique sites:
Ag 0.0572 0.3120 0.0381 (multiplicity 2)
Sn 0.0142 0.6433 0.6255 (multiplicity 2)
Sn 0.0771 0.9552 0.1820 (multiplicity 2)
Sn 0.4109 0.1370 0.5941 (multiplicity 2)
Sn 0.4461 0.5966 0.1667 (multiplicity 2)
Ir 0.5000 0.5000 0.5000 (multiplicity 1)

=====

First-principles (PBE-GGA) data for AgSn2Ir after structural relaxation, as listed in Alexandria via LeMat-Bulk.

Calculated values
The excess energy over the best structure of this formula in the dataset is 127.0 meV per atom.

Lattice parameters (Å, degrees): 8.4877 8.4877 5.4766 90.00 90.00 90.00
Space group I-42d (No. 122)
Unique sites:
Ag 0.0000 0.0000 0.0000 (multiplicity 4)
Sn 0.1588 0.2500 0.6250 (multiplicity 8)
Ir 0.0000 0.0000 0.5000 (multiplicity 4)

=====

First-principles (PBE-GGA) data for AgSn4Ir after structural relaxation, as listed in Alexandria via LeMat-Bulk.

Lattice parameters (Å, degrees): 7.3193 7.3699 5.1692 90.00 90.07 90.00
Space group P2_1/c (No. 14)
Unique sites:
Ag 0.0000 0.0000 0.0000 (multiplicity 2)
Sn 0.1600 0.1270 0.5010 (multiplicity 4)
Sn 0.3643 0.6424 0.5012 (multiplicity 4)
Ir 0.5000 0.0000 0.5000 (multiplicity 2)

=====

First-principles (PBE-GGA) data for Ag2SnIr2 after structural relaxation, as listed in Alexandria via LeMat-Bulk.

Calculated values
The excess energy over the best structure of this formula in the dataset is 316.8 meV per atom.

Lattice parameters (Å, degrees): 3.6661 3.6661 14.4794 90.00 90.00 90.00
Space group I4/mmm (No. 139)
Unique sites:
Ag 0.0000 0.0000 0.1002 (multiplicity 4)
Sn 0.0000 0.0000 0.5000 (multiplicity 2)
Ir 0.0000 0.5000 0.2500 (multiplicity 4)

=====

no.,formation enthalpy at 0 K (eV/f.u.),D(E_F) (states/eV/f.u.)
1,-2.60,18.9
2,-5.93,7.9
3,-3.31,3.5
4,-0.10,3.0
5,-1.13,2.7
6,-2.14,2.9
7,-1.77,3.4
8,1.07,2.2
9,0.51,2.1
10,0.39,2.3
11,1.21,3.1
12,2.16,4.5
13,0.77,2.1
14,-0.03,1.4
15,3.20,5.8
16,-0.34,1.4
17,-0.05,4.8
18,0.90,1.8
19,-0.21,2.6
20,2.79,5.2